Li2InAu | GGA-PBE | optimized geometry

Cell lengths 5.995, 5.995, 5.995 Å; angles 102.79, 102.79, 123.87 degrees
Fractional coordinates of all 8 atoms:
Li (0.092, 0.125, 0.467)
Li (0.375, 0.908, 0.033)
Li (0.658, 0.625, 0.533)
Li (0.875, 0.342, 0.967)
In (0.250, 0.750, 0.500)
In (0.500, 0.500, 0.000)
Au (0.000, 0.000, 0.000)
Au (0.750, 0.250, 0.500)

Results
E_form (eV per atom): -0.241
Total DFT energy (no corrections) (eV/atom): -2.702